Entry 1:
First-principles (PBE-GGA) data for a relaxed CrHgTe2 crystal, as listed in Alexandria via LeMat-Bulk.

Properties
**Formation energy from raw total energies**: 0.21 eV/atom
**DFT total energy**: -3.844 eV/atom
**Space-group type**: P4mm (99)

Cell: 3.3180 3.3180 9.4226 Å, 90.00 90.00 90.00°
Closest atoms and distances in Å follow each position.
Positions (direct):
Cr1 0.0000 0.0000 0.4849  4 Te 2.75
Hg1 0.5000 0.5000 0.7047  4 Cr 3.13, 4 Hg 3.32, 4 Te 3.48
Te1 0.0000 0.0000 0.9780  4 Te 3.32, 4 Hg 3.48
Te2 0.5000 0.5000 0.3324  4 Cr 2.75

=====

Entry 2:
First-principles (PBE-GGA) data for a relaxed Cr2HgTe crystal, as listed in Alexandria via LeMat-Bulk.

Properties
**Formation energy from raw total energies**: 0.43 eV/atom
**Offset from the most stable computed form**: 106.2 meV per atom
**DFT total energy**: -5.241 eV/atom
**Space-group type**: Cm (8)

Cell: 5.6862 5.6862 4.2271 Å, 89.70 89.70 39.59°
Closest atoms and distances in Å follow each position.
Positions (direct):
Cr1 0.0194 0.0194 0.8770  1 Te 2.82, 4 Hg 2.87, 2 Cr 3.06-3.07
Cr2 0.2271 0.2271 0.3729  4 Te 2.87-2.88, 3 Hg 2.89-3.12, 2 Cr 3.06-3.07
Hg1 0.4976 0.4976 0.3769  7 Cr 2.87-3.12
Te1 0.7559 0.7559 0.8732  5 Cr 2.82-2.88

=====

Entry 3:
First-principles (PBE-GGA) data for a relaxed CrHgTe2 crystal, as listed in Alexandria via LeMat-Bulk.

Properties
**Formation energy from raw total energies**: 0.48 eV/atom
**DFT total energy**: -3.570 eV/atom
**Space-group type**: F-43m (216)

Cell: 5.2400 5.2400 5.2400 Å, 60.00 60.00 60.00°
Closest atoms and distances in Å follow each position.
Positions (direct):
Cr1 0.5000 0.5000 0.5000  4 Te 3.21, 4 Hg 3.21
Hg1 0.7500 0.7500 0.7500  4 Cr 3.21, 4 Te 3.21
Te1 0.0000 0.0000 0.0000  4 Hg 3.21, 4 Te 3.21
Te2 0.2500 0.2500 0.2500  4 Te 3.21, 4 Cr 3.21

=====

Entry 4:
First-principles (PBE-GGA) data for a relaxed CrHgTe2 crystal, as listed in Alexandria via LeMat-Bulk.

Properties
**Formation energy from raw total energies**: 0.02 eV/atom
**DFT total energy**: -4.033 eV/atom
**Space-group type**: P2/m (10)

Cell: 4.0067 5.5338 6.3131 Å, 57.07 90.00 90.00°
Closest atoms and distances in Å follow each position.
Positions (direct):
Cr1 0.5000 0.2500 0.2500  4 Te 2.71, 2 Hg 2.85
Hg1 0.5000 0.7500 0.7500  2 Cr 2.85
Te1 0.0000 0.0670 0.0826  2 Cr 2.71, 1 Te 2.95
Te2 0.0000 0.4330 0.4174  2 Cr 2.71, 1 Te 2.95

=====

Entry 5:
First-principles (PBE-GGA) data for a relaxed Cr4HgTe8 crystal, as listed in Alexandria via LeMat-Bulk.

Properties
**Formation energy from raw total energies**: -0.19 eV/atom
**DFT total energy**: -5.105 eV/atom
**Space-group type**: F-43m (216)

Cell: 8.0626 8.0626 8.0626 Å, 60.00 60.00 60.00°
Closest atoms and distances in Å follow each position.
Positions (direct):
Cr1 0.8958 0.3681 0.3681  6 Te 2.71-2.77
Cr2 0.3681 0.8958 0.3681  6 Te 2.71-2.77
Cr3 0.3681 0.3681 0.8958  6 Te 2.71-2.77
Cr4 0.3681 0.3681 0.3681  6 Te 2.71-2.77
Hg1 0.7500 0.7500 0.7500  4 Te 2.79
Te1 0.6076 0.1308 0.1308  3 Cr 2.71
Te2 0.1308 0.6076 0.1308  3 Cr 2.71
Te3 0.1308 0.1308 0.6076  3 Cr 2.71
Te4 0.1308 0.1308 0.1308  3 Cr 2.71
Te5 0.1735 0.6088 0.6088  3 Cr 2.77, 1 Hg 2.79
Te6 0.6088 0.1735 0.6088  3 Cr 2.77, 1 Hg 2.79
Te7 0.6088 0.6088 0.1735  3 Cr 2.77, 1 Hg 2.79
Te8 0.6088 0.6088 0.6088  3 Cr 2.77, 1 Hg 2.79

=====

Entry 6:
First-principles (PBE-GGA) data for a relaxed Cr2HgTe crystal, as listed in Alexandria via LeMat-Bulk.

Properties
**Formation energy from raw total energies**: 0.42 eV/atom
**Offset from the most stable computed form**: 99.8 meV per atom
**DFT total energy**: -5.248 eV/atom
**Space-group type**: R-3m (166)

Cell: 7.4464 7.4464 7.4464 Å, 29.01 29.01 29.01°
Closest atoms and distances in Å follow each position.
Positions (direct):
Cr1 0.0023 0.0023 0.0023  3 Te 2.76, 3 Hg 2.83
Cr2 0.4977 0.4977 0.4977  3 Te 2.76, 3 Hg 2.83
Hg1 0.2500 0.2500 0.2500  6 Cr 2.83
Te1 0.7500 0.7500 0.7500  6 Cr 2.76

=====

Entry 7:
First-principles (PBE-GGA) data for a relaxed CrHgTe2 crystal, as listed in Alexandria via LeMat-Bulk.

Properties
**Formation energy from raw total energies**: 0.33 eV/atom
**DFT total energy**: -3.726 eV/atom
**Space-group type**: Cmmm (65)

Cell: 5.1351 5.1351 3.9493 Å, 90.00 90.00 104.02°
Closest atoms and distances in Å follow each position.
Positions (direct):
Cr1 0.5000 0.0000 0.5000  2 Hg 3.16, 8 Te 3.24
Hg1 0.0000 0.5000 0.5000  2 Cr 3.16, 8 Te 3.24
Te1 0.0000 0.0000 0.0000  2 Te 3.16, 4 Cr 3.24, 4 Hg 3.24
Te2 0.5000 0.5000 0.0000  2 Te 3.16, 4 Hg 3.24, 4 Cr 3.24

=====

Entry 8:
First-principles (PBE-GGA) data for a relaxed CrHgTe2 crystal, as listed in Alexandria via LeMat-Bulk.

Properties
**Formation energy from raw total energies**: -0.13 eV/atom
**DFT total energy**: -4.187 eV/atom
**Space-group type**: C2/m (12)

Cell: 3.8624 3.8624 8.8273 Å, 78.09 78.09 59.79°
Closest atoms and distances in Å follow each position.
Positions (direct):
Cr1 0.7500 0.7500 0.7500  6 Te 2.71
Te1 0.0263 0.0263 0.9294  3 Cr 2.71
Te2 0.4737 0.4737 0.5706  3 Cr 2.71
Hg1 0.2500 0.2500 0.2500  6 Te 3.50-3.56, 6 Hg 3.85-3.86

=====

Entry 9:
First-principles (PBE-GGA) data for a relaxed Cr3HgTe crystal, as listed in Alexandria via LeMat-Bulk.

Properties
**Formation energy from raw total energies**: 1.07 eV/atom
**Offset from the most stable computed form**: 0.0 meV per atom
**DFT total energy**: -5.396 eV/atom
**Space-group type**: Pm-3m (221)

Cell: 5.2702 5.2702 5.2702 Å, 90.00 90.00 90.00°
Closest atoms and distances in Å follow each position.
Positions (direct):
Cr1 0.0000 0.5000 0.0000  2 Te 2.64
Cr2 0.0000 0.0000 0.5000  2 Te 2.64
Cr3 0.5000 0.0000 0.0000  2 Te 2.64
Te1 0.0000 0.0000 0.0000  6 Cr 2.64
Hg1 0.5000 0.5000 0.5000  12 Cr 3.73

=====

Entry 10:
First-principles (PBE-GGA) data for a relaxed CrHgTe2 crystal, as listed in Alexandria via LeMat-Bulk.

Properties
**Formation energy from raw total energies**: 0.08 eV/atom
**DFT total energy**: -3.975 eV/atom
**Space-group type**: Cmmm (65)

Cell: 3.3534 3.3534 10.2717 Å, 90.00 90.00 104.64°
Closest atoms and distances in Å follow each position.
Positions (direct):
Cr1 0.5000 0.5000 0.2500  4 Te 2.74
Hg1 0.5000 0.5000 0.7500  4 Hg 3.35
Te1 0.0000 0.0000 0.0734  2 Cr 2.74
Te2 0.0000 0.0000 0.4266  2 Cr 2.74

=====

Entry 11:
First-principles (PBE-GGA) data for a relaxed Cr2HgTe4 crystal, as listed in Alexandria via LeMat-Bulk.

Properties
**Formation energy from raw total energies**: -0.20 eV/atom
**DFT total energy**: -4.788 eV/atom
**Space-group type**: I4_1/amd (141)

Cell: 8.2854 8.2854 8.2885 Å, 120.02 120.03 89.93°
Closest atoms and distances in Å follow each position.
Positions (direct):
Cr1 0.6250 0.3750 0.7500  6 Te 2.76
Cr2 0.6250 0.8750 0.2500  6 Te 2.76
Cr3 0.6250 0.3750 0.2500  6 Te 2.76
Cr4 0.1250 0.3750 0.7500  6 Te 2.76
Te1 0.8591 0.1407 0.2818  3 Cr 2.76, 1 Hg 2.86
Te2 0.3909 0.6093 0.2182  3 Cr 2.76, 1 Hg 2.86
Te3 0.8589 0.5774 0.7182  3 Cr 2.76, 1 Hg 2.86
Te4 0.8593 0.1408 0.7181  3 Cr 2.76, 1 Hg 2.86
Te5 0.4226 0.1411 0.2819  3 Cr 2.76, 1 Hg 2.86
Te6 0.3911 0.1726 0.7818  3 Cr 2.76, 1 Hg 2.86
Te7 0.3907 0.6092 0.7819  3 Cr 2.76, 1 Hg 2.86
Te8 0.8274 0.6089 0.2181  3 Cr 2.76, 1 Hg 2.86
Hg1 0.2500 0.7500 0.5000  4 Te 2.86
Hg2 0.0000 0.0000 0.0000  4 Te 2.86

=====

Entry 12:
First-principles (PBE-GGA) data for a relaxed CrHg2Te crystal, as listed in Alexandria via LeMat-Bulk.

Properties
**Formation energy from raw total energies**: 0.10 eV/atom
**DFT total energy**: -3.239 eV/atom
**Space-group type**: Cm (8)

Cell: 3.7845 3.7845 8.7921 Å, 77.44 77.44 60.08°
Closest atoms and distances in Å follow each position.
Positions (direct):
Cr1 0.2466 0.2466 0.2604  3 Te 2.65-2.66, 3 Hg 2.91-2.92
Hg1 0.9888 0.9888 0.0338  3 Cr 2.91-2.92, 3 Hg 3.14-3.15
Hg2 0.7440 0.7440 0.7684  3 Hg 3.14-3.15
Te1 0.5206 0.5206 0.4374  3 Cr 2.65-2.66

=====

Entry 13:
First-principles (PBE-GGA) data for a relaxed Cr2HgTe crystal, as listed in Alexandria via LeMat-Bulk.

Properties
**Formation energy from raw total energies**: 0.32 eV/atom
**Offset from the most stable computed form**: 0.0 meV per atom
**DFT total energy**: -5.348 eV/atom
**Space-group type**: P4mm (99)

Cell: 3.1678 3.1678 8.0868 Å, 90.00 90.00 90.00°
Closest atoms and distances in Å follow each position.
Positions (direct):
Cr1 0.0000 0.0000 0.0375  4 Cr 2.60, 4 Te 2.81
Cr2 0.5000 0.5000 0.2007  4 Cr 2.60
Hg1 0.0000 0.0000 0.4351  5 Cr 2.93-3.22, 4 Hg 3.17
Te1 0.5000 0.5000 0.8267  5 Cr 2.81-3.02

=====

Entry 14:
First-principles (PBE-GGA) data for a relaxed Cr2HgTe crystal, as listed in Alexandria via LeMat-Bulk.

Properties
**Formation energy from raw total energies**: 0.77 eV/atom
**Offset from the most stable computed form**: 440.8 meV per atom
**DFT total energy**: -4.907 eV/atom
**Space-group type**: F-43m (216)

Cell: 5.0293 5.0293 5.0293 Å, 60.00 60.00 60.00°
Closest atoms and distances in Å follow each position.
Positions (direct):
Cr1 0.0000 0.0000 0.0000  4 Cr 3.08, 4 Te 3.08
Cr2 0.2500 0.2500 0.2500  4 Hg 3.08, 4 Cr 3.08
Hg1 0.5000 0.5000 0.5000  4 Te 3.08, 4 Cr 3.08
Te1 0.7500 0.7500 0.7500  4 Hg 3.08, 4 Cr 3.08

=====

Entry 15:
First-principles (PBE-GGA) data for a relaxed CrHg2Te crystal, as listed in Alexandria via LeMat-Bulk.

Properties
**Formation energy from raw total energies**: 0.29 eV/atom
**DFT total energy**: -3.052 eV/atom
**Space-group type**: I-42d (122)

Cell: 9.4065 9.4065 7.1421 Å, 48.81 48.81 90.00°
Closest atoms and distances in Å follow each position.
Positions (direct):
Cr1 0.5000 0.5000 0.0000  2 Te 2.60
Cr2 0.2500 0.7500 0.5000  2 Te 2.60
Te1 0.0000 0.0000 0.0000  2 Cr 2.60
Te2 0.7500 0.2500 0.5000  2 Cr 2.60
Hg1 0.2048 0.1250 0.2500  2 Cr 2.92, 2 Hg 3.00
Hg2 0.5452 0.6250 0.2500  2 Cr 2.92, 2 Hg 3.00
Hg3 0.3750 0.7952 0.7500  2 Cr 2.92, 2 Hg 3.00
Hg4 0.8750 0.4548 0.7500  2 Cr 2.92, 2 Hg 3.00

=====

Entry 16:
First-principles (PBE-GGA) data for a relaxed CrHgTe4 crystal, as listed in Alexandria via LeMat-Bulk.

Properties
**Formation energy from raw total energies**: 0.56 eV/atom
**DFT total energy**: -3.186 eV/atom
**Space-group type**: F-43m (216)

Cell: 6.4026 6.4026 6.4026 Å, 60.00 60.00 60.00°
Closest atoms and distances in Å follow each position.
Positions (direct):
Cr1 0.7500 0.7500 0.7500  12 Te 3.75, 4 Hg 3.92
Hg1 0.0000 0.0000 0.0000  12 Te 3.75, 4 Cr 3.92
Te1 0.8741 0.3753 0.3753  6 Te 3.19-3.21
Te2 0.3753 0.3753 0.8741  6 Te 3.19-3.21
Te3 0.3753 0.8741 0.3753  6 Te 3.19-3.21
Te4 0.3753 0.3753 0.3753  6 Te 3.19-3.21

=====

Entry 17:
First-principles (PBE-GGA) data for a relaxed CrHgTe2 crystal, as listed in Alexandria via LeMat-Bulk.

Properties
**Formation energy from raw total energies**: 0.35 eV/atom
**DFT total energy**: -3.697 eV/atom
**Space-group type**: P4/mmm (123)

Cell: 3.6397 5.2173 5.2173 Å, 90.00 90.00 90.00°
Closest atoms and distances in Å follow each position.
Positions (direct):
Cr1 0.5000 0.5000 0.0000  8 Te 3.18
Hg1 0.5000 0.0000 0.5000  8 Te 3.18
Te1 0.0000 0.0000 0.0000  4 Cr 3.18, 4 Hg 3.18
Te2 0.0000 0.5000 0.5000  4 Hg 3.18, 4 Cr 3.18

=====

Entry 18:
First-principles (PBE-GGA) data for a relaxed CrHgTe2 crystal, as listed in Alexandria via LeMat-Bulk.

Properties
**Formation energy from raw total energies**: -0.01 eV/atom
**DFT total energy**: -4.065 eV/atom
**Space-group type**: I-42d (122)

Cell: 6.4344 6.4344 7.8921 Å, 65.94 65.94 90.00°
Closest atoms and distances in Å follow each position.
Positions (direct):
Cr1 0.5000 0.5000 0.0000  4 Te 2.69
Cr2 0.2500 0.7500 0.5000  4 Te 2.69
Te1 0.5962 0.1250 0.2500  2 Cr 2.69, 2 Hg 2.90
Te2 0.1538 0.6250 0.2500  2 Cr 2.69, 2 Hg 2.90
Te3 0.3750 0.4038 0.7500  2 Cr 2.69, 2 Hg 2.90
Te4 0.8750 0.8462 0.7500  2 Cr 2.69, 2 Hg 2.90
Hg1 0.0000 0.0000 0.0000  4 Te 2.90
Hg2 0.7500 0.2500 0.5000  4 Te 2.90

=====

Entry 19:
First-principles (PBE-GGA) data for a relaxed Cr2HgTe crystal, as listed in Alexandria via LeMat-Bulk.

Properties
**Formation energy from raw total energies**: 0.50 eV/atom
**Offset from the most stable computed form**: 180.1 meV per atom
**DFT total energy**: -5.168 eV/atom
**Space-group type**: Fm-3m (225)

Cell: 4.9350 4.9350 4.9350 Å, 60.00 60.00 60.00°
Closest atoms and distances in Å follow each position.
Positions (direct):
Cr1 0.2500 0.2500 0.2500  4 Hg 3.02, 4 Te 3.02
Cr2 0.7500 0.7500 0.7500  4 Hg 3.02, 4 Te 3.02
Te1 0.0000 0.0000 0.0000  8 Cr 3.02
Hg1 0.5000 0.5000 0.5000  8 Cr 3.02

=====

Entry 20:
First-principles (PBE-GGA) data for a relaxed CrHg2Te crystal, as listed in Alexandria via LeMat-Bulk.

Properties
**Formation energy from raw total energies**: 0.21 eV/atom
**DFT total energy**: -3.135 eV/atom
**Space-group type**: P4/mmm (123)

Cell: 4.0594 4.0595 6.5953 Å, 90.00 90.00 90.00°
Closest atoms and distances in Å follow each position.
Positions (direct):
Cr1 0.0000 0.5000 0.5000  4 Te 2.87
Hg1 0.0000 0.0000 0.0000  4 Hg 2.87
Hg2 0.5000 0.5000 0.0000  4 Hg 2.87
Te1 0.5000 0.0000 0.5000  4 Cr 2.87

=====

| no. | D(E_F) (states/eV/cell) |
| --- | --- |
| 1 | 1.496 |
| 2 | 2.615 |
| 3 | 3.561 |
| 4 | 1.670 |
| 5 | 4.432 |
| 6 | 2.744 |
| 7 | 2.237 |
| 8 | 1.639 |
| 9 | 1.572 |
| 10 | 1.592 |
| 11 | 4.020 |
| 12 | 1.936 |
| 13 | 2.990 |
| 14 | 3.841 |
| 15 | 3.735 |
| 16 | 5.259 |
| 17 | 2.326 |
| 18 | 1.884 |
| 19 | 4.444 |
| 20 | 2.191 |